{
  "formula": "BeAgAu2",
  "functional": "PBE",
  "state": "relaxed",
  "lattice": [[2.9618, 0.0000, 0.0000], [-1.4809, 2.5650, 0.0000], [0.0000, 0.0000, 25.3118]],
  "species": ["Be", "Be", "Be", "Ag", "Ag", "Ag", "Au", "Au", "Au", "Au", "Au", "Au"],
  "fractional_positions": [[0.0000, 0.0000, 0.0000], [0.3333, 0.6667, 0.6667], [0.6667, 0.3333, 0.3333], [0.0000, 0.0000, 0.5000], [0.3333, 0.6667, 0.1667], [0.6667, 0.3333, 0.8333], [0.0000, 0.0000, 0.2646], [0.0000, 0.0000, 0.7354], [0.3333, 0.6667, 0.4021], [0.3333, 0.6667, 0.9312], [0.6667, 0.3333, 0.0688], [0.6667, 0.3333, 0.5979]],
  "m_tot_mub_per_cell": 0.00,
  "ef_ev_per_atom": -0.0223,
  "total_energy_ev_per_atom": -3.31
}